## SbPd2 (PBE)

Data for SbPd2 after structural relaxation.

* formation energy from raw total energies: -36 meV/atom
* E_tot: -4.872 eV per atom
* space-group type: No. 227
* M_tot: 0.0002 μB/atom

Lattice parameters (Å, degrees): 5.4056 5.4056 5.4056 60.00 60.00 60.00
Closest atoms and distances in Å follow each position.
Fractional positions:
Sb 0.1250 0.1250 0.1250  12 Pd 3.17, 4 Sb 3.31
Sb 0.8750 0.8750 0.8750  12 Pd 3.17, 4 Sb 3.31
Pd 0.0000 0.5000 0.5000  6 Pd 2.70
Pd 0.5000 0.0000 0.5000  6 Pd 2.70
Pd 0.5000 0.5000 0.0000  6 Pd 2.70
Pd 0.5000 0.5000 0.5000  6 Pd 2.70